# 1
Here is an optimized crystal structure of LaSmGe2 from Alexandria via LeMat-Bulk. Energies are from PBE-GGA.

abc: 4.8007 4.8007 16.4651
angles: 90.00 90.00 120.00
Space group R-3m (No. 166, hexagonal axes)
Symmetry-distinct sites (fractional):
La: 0.0000 0.0000 0.0000 (multiplicity 3)
Sm: 0.0000 0.0000 0.5000 (multiplicity 3)
Ge: 0.0000 0.0000 0.2434 (multiplicity 6)

Energy of formation   -2.7 eV per formula unit
E   -5.387 eV per atom
E above lowest polymorph   174 meV per atom
Size of the total moment   0.00 μB per formula unit

# 2
Here is an optimized crystal structure of LaSm2Ge from Alexandria via LeMat-Bulk. Energies are from PBE-GGA.

abc: 7.932 9.415 6.512
angles: 90.00 90.00 90.00
Space group Pnma (No. 62)
Symmetry-distinct sites (fractional):
La: 0.030 0.250 0.133 (multiplicity 4)
Sm: 0.190 0.053 0.625 (multiplicity 8)
Ge: 0.115 0.750 0.413 (multiplicity 4)

Energy of formation   -1.8 eV per formula unit
E   -5.196 eV per atom
E above lowest polymorph   0 meV per atom
Size of the total moment   0.00 μB per formula unit

# 3
Here is an optimized crystal structure of La5SmGe4 from Alexandria via LeMat-Bulk. Energies are from PBE-GGA.

abc: 16.058 5.240 7.140
angles: 90.00 90.95 90.00
Space group C2/m (No. 12)
Symmetry-distinct sites (fractional):
La: 0.000 0.000 0.000 (multiplicity 2)
La: 0.163 0.500 0.996 (multiplicity 4)
La: 0.166 0.500 0.512 (multiplicity 4)
Sm: 0.000 0.000 0.500 (multiplicity 2)
Ge: 0.009 0.500 0.260 (multiplicity 4)
Ge: 0.176 0.000 0.750 (multiplicity 4)

Energy of formation   -6.5 eV per formula unit
E   -5.434 eV per atom
Size of the total moment   0.00 μB per formula unit

# 4
Here is an optimized crystal structure of LaSm3Ge2 from Alexandria via LeMat-Bulk. Energies are from PBE-GGA.

abc: 17.656 4.472 9.465
angles: 90.00 113.86 90.00
Space group C2/m (No. 12)
Symmetry-distinct sites (fractional):
La: 0.116 0.000 0.135 (multiplicity 4)
Sm: 0.050 0.000 0.695 (multiplicity 4)
Sm: 0.150 0.500 0.476 (multiplicity 4)
Sm: 0.192 0.500 0.883 (multiplicity 4)
Ge: 0.010 0.500 0.867 (multiplicity 4)
Ge: 0.236 0.000 0.708 (multiplicity 4)

Energy of formation   -3.5 eV per formula unit
E   -5.298 eV per atom
E above lowest polymorph   0 meV per atom
Size of the total moment   0.00 μB per formula unit

# 5
Here is an optimized crystal structure of LaSm2Ge2 from Alexandria via LeMat-Bulk. Energies are from PBE-GGA.

abc: 12.326 3.899 5.932
angles: 90.00 101.78 90.00
Space group C2/m (No. 12)
Symmetry-distinct sites (fractional):
La: 0.000 0.000 0.000 (multiplicity 2)
Sm: 0.140 0.500 0.565 (multiplicity 4)
Ge: 0.212 0.500 0.109 (multiplicity 4)

Energy of formation   -2.9 eV per formula unit
E   -5.297 eV per atom
E above lowest polymorph   136 meV per atom
Size of the total moment   0.00 μB per formula unit

# 6
Here is an optimized crystal structure of La3Sm2Ge2 from Alexandria via LeMat-Bulk. Energies are from PBE-GGA.

abc: 12.401 4.306 8.610
angles: 90.00 110.54 90.00
Space group C2/m (No. 12)
Symmetry-distinct sites (fractional):
La: 0.000 0.000 0.000 (multiplicity 2)
La: 0.131 0.000 0.443 (multiplicity 4)
Sm: 0.153 0.500 0.810 (multiplicity 4)
Ge: 0.179 0.500 0.195 (multiplicity 4)

Energy of formation   -3.6 eV per formula unit
E   -5.299 eV per atom
Size of the total moment   0.00 μB per formula unit

# 7
Here is an optimized crystal structure of LaSmGe3 from Alexandria via LeMat-Bulk. Energies are from PBE-GGA.

abc: 4.389 27.092 4.096
angles: 90.00 90.00 90.00
Space group Cmcm (No. 63)
Symmetry-distinct sites (fractional):
La: 0.000 0.072 0.250 (multiplicity 4)
Sm: 0.000 0.203 0.750 (multiplicity 4)
Ge: 0.000 0.315 0.750 (multiplicity 4)
Ge: 0.000 0.376 0.250 (multiplicity 4)
Ge: 0.000 0.472 0.250 (multiplicity 4)

Energy of formation   -3.7 eV per formula unit
E   -5.446 eV per atom
Size of the total moment   0.00 μB per formula unit

# 8
Here is an optimized crystal structure of LaSm3Ge2 from Alexandria via LeMat-Bulk. Energies are from PBE-GGA.

abc: 4.471 4.471 8.402
angles: 90.00 90.00 90.00
Space group P-4m2 (No. 115)
Symmetry-distinct sites (fractional):
La: 0.000 0.000 0.000 (multiplicity 1)
Sm: 0.000 0.500 0.360 (multiplicity 2)
Sm: 0.500 0.500 0.000 (multiplicity 1)
Ge: 0.000 0.500 0.719 (multiplicity 2)

Energy of formation   -3.4 eV per formula unit
E   -5.282 eV per atom
E above lowest polymorph   16 meV per atom
Size of the total moment   0.00 μB per formula unit

# 9
Here is an optimized crystal structure of LaSmGe4 from Alexandria via LeMat-Bulk. Energies are from PBE-GGA.

abc: 8.927 15.638 4.203
angles: 90.00 90.00 90.00
Space group Pbam (No. 55)
Symmetry-distinct sites (fractional):
La: 0.113 0.136 0.000 (multiplicity 4)
Sm: 0.138 0.414 0.000 (multiplicity 4)
Ge: 0.044 0.288 0.500 (multiplicity 4)
Ge: 0.128 0.967 0.500 (multiplicity 4)
Ge: 0.129 0.571 0.500 (multiplicity 4)
Ge: 0.178 0.806 0.500 (multiplicity 4)

Energy of formation   -3.3 eV per formula unit
E   -5.231 eV per atom
E above lowest polymorph   0 meV per atom
Size of the total moment   0.00 μB per formula unit

# 10
Here is an optimized crystal structure of La3Sm4Ge4 from Alexandria via LeMat-Bulk. Energies are from PBE-GGA.

abc: 4.112 8.873 17.155
angles: 90.00 90.00 90.00
Space group Immm (No. 71)
Symmetry-distinct sites (fractional):
La: 0.000 0.000 0.000 (multiplicity 2)
La: 0.000 0.500 0.095 (multiplicity 4)
Sm: 0.000 0.319 0.328 (multiplicity 8)
Ge: 0.000 0.000 0.267 (multiplicity 4)
Ge: 0.000 0.226 0.500 (multiplicity 4)

Energy of formation   -7.0 eV per formula unit
E   -5.378 eV per atom
Size of the total moment   0.85 μB per formula unit

# 11
Here is an optimized crystal structure of LaSm2Ge from Alexandria via LeMat-Bulk. Energies are from PBE-GGA.

abc: 4.0851 4.0851 27.9283
angles: 90.00 90.00 120.00
Space group R3m (No. 160, hexagonal axes)
Symmetry-distinct sites (fractional):
La: 0.0000 0.0000 0.0000 (multiplicity 3)
Sm: 0.0000 0.0000 0.5579 (multiplicity 3)
Sm: 0.0000 0.0000 0.7708 (multiplicity 3)
Ge: 0.0000 0.0000 0.1636 (multiplicity 3)

Energy of formation   -1.0 eV per formula unit
E   -5.002 eV per atom
E above lowest polymorph   194 meV per atom
Size of the total moment   0.00 μB per formula unit

# 12
Here is an optimized crystal structure of LaSmGe2 from Alexandria via LeMat-Bulk. Energies are from PBE-GGA.

abc: 3.458 3.458 8.330
angles: 90.00 90.00 90.00
Space group P4/mmm (No. 123)
Symmetry-distinct sites (fractional):
La: 0.000 0.000 0.000 (multiplicity 1)
Sm: 0.000 0.000 0.500 (multiplicity 1)
Ge: 0.500 0.500 0.256 (multiplicity 2)

Energy of formation   -2.7 eV per formula unit
E   -5.385 eV per atom
E above lowest polymorph   176 meV per atom
Size of the total moment   0.00 μB per formula unit